## CsPPb3 (PBE-GGA)

Data for CsPPb3 after structural relaxation.

Density of states at the Fermi level in states/eV/cell: 5.2
Magnetization in μB per atom: 0.000
Energy relative to the elements in eV per atom: 1.70

a b c (Å): 6.253 6.253 6.253
angles (deg): 90.00 90.00 90.00
Positions (direct):
Pb  0.000  0.500  0.000
Pb  0.000  0.000  0.500
Pb  0.500  0.000  0.000
Cs  0.000  0.000  0.000
P  0.500  0.500  0.500